Here is a relaxed structure of AcPuBi from the Open Quantum Materials Database. Energies are from PBE.

## Properties
* raw total energy: -6.24 eV per atom
* polymorph energy (0 for the lowest one): 1127 meV/atom

Unit cell a=5.5835 b=5.5835 c=5.5835 alpha=60.00 beta=60.00 gamma=60.00
Fractional positions:
Ac1 0.0000 0.0000 0.0000
Bi1 0.2500 0.2500 0.2500
Pu1 0.7500 0.7500 0.7500